(1)
An optimized crystal structure of Li3Mg, computed with GGA-PBEsol.

Lattice parameters (Å, degrees): 3.089 4.248 6.078 90.00 90.00 90.00
Fractional coordinates of all 4 atoms:
Li: 0.500 0.500 0.500
Li: 0.000 0.000 0.249
Li: 0.000 0.000 0.751
Mg: 0.500 0.500 0.000

Values from the calculation:
Its total energy is -1.93 eV/atom. For the density of states at the Fermi level, the calculation gives 1.8 states/eV per cell. As for the calculated formation energy: -0.0287 eV per atom.



(2)
An optimized crystal structure of Na3VO4, computed with GGA-PBEsol.

Lattice parameters (Å, degrees): 8.790 9.733 10.532 90.00 90.00 90.00
Fractional coordinates of all 64 atoms:
Na: 0.974 0.882 0.900
Na: 0.179 0.207 0.384
Na: 0.352 0.533 0.351
Na: 0.526 0.382 0.100
Na: 0.026 0.618 0.400
Na: 0.352 0.033 0.149
Na: 0.148 0.533 0.851
Na: 0.852 0.967 0.351
Na: 0.179 0.707 0.116
Na: 0.852 0.467 0.149
Na: 0.679 0.793 0.116
Na: 0.974 0.382 0.600
Na: 0.474 0.118 0.600
Na: 0.648 0.967 0.851
Na: 0.821 0.793 0.616
Na: 0.526 0.882 0.400
Na: 0.026 0.118 0.100
Na: 0.821 0.293 0.884
Na: 0.321 0.707 0.616
Na: 0.321 0.207 0.884
Na: 0.679 0.293 0.384
Na: 0.148 0.033 0.649
Na: 0.474 0.618 0.900
Na: 0.648 0.467 0.649
O: 0.548 0.165 0.007
O: 0.952 0.665 0.993
O: 0.276 0.262 0.182
O: 0.548 0.665 0.493
O: 0.099 0.496 0.227
O: 0.776 0.238 0.182
O: 0.452 0.835 0.993
O: 0.276 0.762 0.318
O: 0.099 0.996 0.273
O: 0.692 0.502 0.970
O: 0.952 0.165 0.507
O: 0.901 0.004 0.727
O: 0.308 0.498 0.030
O: 0.724 0.238 0.682
O: 0.599 0.504 0.273
O: 0.401 0.996 0.773
O: 0.401 0.496 0.727
O: 0.724 0.738 0.818
O: 0.224 0.262 0.682
O: 0.776 0.738 0.318
O: 0.048 0.335 0.007
O: 0.192 0.498 0.530
O: 0.048 0.835 0.493
O: 0.599 0.004 0.227
O: 0.692 0.002 0.530
O: 0.192 0.998 0.970
O: 0.808 0.002 0.030
O: 0.308 0.998 0.470
O: 0.808 0.502 0.470
O: 0.901 0.504 0.773
O: 0.224 0.762 0.818
O: 0.452 0.335 0.507
V: 0.819 0.604 0.888
V: 0.819 0.104 0.612
V: 0.181 0.896 0.388
V: 0.181 0.396 0.112
V: 0.681 0.604 0.388
V: 0.319 0.896 0.888
V: 0.319 0.396 0.612
V: 0.681 0.104 0.112

Values from the calculation:
The formation energy without anion corrections comes out at -1636 kJ/mol of formula units. Its total energy is -6.47 eV/atom. For the density of states at the Fermi level, the calculation gives 0.0 states/eV per cell.



(3)
An optimized crystal structure of Li2CuN, computed with GGA-PBEsol.

Lattice parameters (Å, degrees): 3.271 3.271 7.586 102.45 102.45 90.00
Fractional coordinates of all 8 atoms:
Li: 0.625 0.194 0.750
Li: 0.125 0.556 0.750
Li: 0.806 0.875 0.250
Li: 0.444 0.375 0.250
Cu: 0.250 0.750 0.500
Cu: 0.000 0.000 0.000
N: 0.750 0.250 0.500
N: 0.500 0.500 0.000

Values from the calculation:
The formation energy without anion corrections comes out at 159 kJ/mol of formula units. Its total energy is -3.79 eV/atom. For the density of states at the Fermi level, the calculation gives 1.6 states/eV per cell.



(4)
An optimized crystal structure of La4CoMo, computed with GGA-PBEsol.

Lattice parameters (Å, degrees): 6.058 6.058 6.058 60.00 60.00 60.00
Each line ends with the local moment (μB).
Fractional coordinates of all 6 atoms:
La: 0.375 0.375 0.875  -0.19
La: 0.875 0.375 0.375  -0.19
La: 0.375 0.375 0.375  -0.19
La: 0.375 0.875 0.375  -0.19
Co: 0.000 0.000 0.000  1.75
Mo: 0.750 0.750 0.750  1.68

Values from the calculation:
Its total energy is -5.60 eV/atom. For the density of states at the Fermi level, the calculation gives 11.1 states/eV per cell. As for the calculated formation energy: 1.2187 eV per atom.



(5)
An optimized crystal structure of ZrBeNi, computed with GGA-PBEsol.

Lattice parameters (Å, degrees): 4.028 4.028 4.028 60.00 60.00 60.00
Each line ends with the local moment (μB).
Fractional coordinates of all 3 atoms:
Zr: 0.000 0.000 0.000  0.21
Be: 0.500 0.500 0.500  0.04
Ni: 0.250 0.250 0.250  0.08

Values from the calculation:
As for the energy above the most stable polymorph in this dataset: 324 meV/atom. Its total energy is -6.40 eV/atom. For the density of states at the Fermi level, the calculation gives 5.0 states/eV per cell. As for the calculated formation energy: 0.0160 eV per atom.



(6)
An optimized crystal structure of TlSb2N, computed with GGA-PBEsol.

Lattice parameters (Å, degrees): 5.563 5.563 7.729 111.09 111.09 90.00
Fractional coordinates of all 8 atoms:
N: 0.500 0.500 0.000
N: 0.750 0.250 0.500
Sb: 0.511 0.875 0.250
Sb: 0.625 0.489 0.750
Sb: 0.739 0.375 0.250
Sb: 0.125 0.261 0.750
Tl: 0.000 0.000 0.000
Tl: 0.250 0.750 0.500

Values from the calculation:
The formation energy without anion corrections comes out at 205 kJ/mol of formula units. Its total energy is -4.54 eV/atom. For the density of states at the Fermi level, the calculation gives 2.1 states/eV per cell.



(7)
An optimized crystal structure of ScIr2, computed with GGA-PBEsol.

Lattice parameters (Å, degrees): 5.037 5.037 5.037 105.79 105.79 117.11
Fractional coordinates of all 6 atoms:
Ir: 0.645 0.145 0.791
Ir: 0.355 0.855 0.209
Ir: 0.855 0.645 0.500
Ir: 0.145 0.355 0.500
Sc: 0.750 0.750 0.000
Sc: 0.250 0.250 0.000

Values from the calculation:
Its total energy is -8.62 eV/atom. For the density of states at the Fermi level, the calculation gives 4.4 states/eV per cell. As for the calculated formation energy: 0.1296 eV per atom.



(8)
An optimized crystal structure of BiPb2Au2, computed with GGA-PBEsol.

Lattice parameters (Å, degrees): 4.221 7.662 7.662 90.00 90.00 90.00
Fractional coordinates of all 10 atoms:
Pb: 0.500 0.331 0.169
Pb: 0.500 0.669 0.831
Pb: 0.500 0.169 0.669
Pb: 0.500 0.831 0.331
Au: 0.000 0.129 0.371
Au: 0.000 0.871 0.629
Au: 0.000 0.371 0.871
Au: 0.000 0.629 0.129
Bi: 0.000 0.000 0.000
Bi: 0.000 0.500 0.500

Values from the calculation:
Its total energy is -4.07 eV/atom. For the density of states at the Fermi level, the calculation gives 4.3 states/eV per cell. As for the calculated formation energy: -0.0476 eV per atom.